Nd2BeSi3: optimized geometry, PBE-GGA.

a b c (Å): 3.9874 4.2717 6.8633
angles (deg): 90.00 90.00 90.00
Last column: nearest neighbours and their distance in Å.
Sites, in units of the cell vectors:
Si (0.0000, 0.5000, 0.1631)  3 Si 2.36-2.37
Si (0.5000, 0.5000, 0.3480)  1 Be 2.23, 2 Si 2.36
Si (0.0000, 0.5000, 0.8185)  2 Be 2.23, 1 Si 2.37
Nd (0.0000, 0.0000, 0.4989)  8 Si 3.06-3.14, 4 Be 3.15
Nd (0.5000, 0.0000, 0.9993)  2 Be 3.10, 10 Si 3.13-3.21
Be (0.5000, 0.5000, 0.6723)  3 Si 2.23

## Properties
* SG: Pmm2 (25)
* total energy: -5.597 eV/atom